LaPb2W: relaxed, PBE.

Properties
Fermi-level density of states = 5.30 states/eV per cell
raw total energy = -5.620 eV/atom
ΔH_f (0 K) = 0.704 eV per atom

Structure (POSCAR):
```
LaPb2W
1.0
0.0000 3.7679 3.7679
3.7679 0.0000 3.7679
3.7679 3.7679 0.0000
La Pb W
1 2 1
Direct
0.0000 0.0000 0.0000
0.5000 0.5000 0.5000
0.7500 0.7500 0.7500
0.2500 0.2500 0.2500
```